The following is a DFT calculation (PBE-GGA) of crystalline LiSm2OsC6 at its relaxed geometry.

POSCAR file:
```
LiSm2OsC6
1.0
7.2178 0.0000 0.0000
0.0000 8.7509 0.0000
0.0000 0.0000 4.4716
Li Sm Os C
2 4 2 12
direct
0.0000 0.0000 0.0000
0.5000 0.5000 0.5000
0.1651 0.2397 0.5000
0.3349 0.7397 0.0000
0.6651 0.2603 0.0000
0.8349 0.7603 0.5000
0.0000 0.5000 0.0000
0.5000 0.0000 0.5000
0.0044 0.2688 0.0000
0.1915 0.5243 0.3568
0.1915 0.5243 0.6432
0.3085 0.0243 0.1432
0.3085 0.0243 0.8568
0.4956 0.7688 0.5000
0.5044 0.2312 0.5000
0.6915 0.9757 0.1432
0.6915 0.9757 0.8568
0.8085 0.4757 0.3568
0.8085 0.4757 0.6432
0.9956 0.7312 0.0000
```

## Properties
For the electronic total energy, the calculation gives -7.34 eV/atom.